Entry 1:
Below is an optimized crystal structure of Ta2FePdW, with properties calculated at the PBE-GGA level.

It has space group P4/mmm (No. 123), with a = 4.8047 Å, b = 4.8047 Å, c = 4.8401 Å, α = 90.00°, β = 90.00° and γ = 90.00°. The asymmetric unit holds Ta at (0.0000, 0.5000, 0.0000), Fe at (0.0000, 0.0000, 0.5000), Pd at (0.5000, 0.5000, 0.5000) and W at (0.5000, 0.5000, 0.0000).

For the calculated formation energy, the calculation gives 1.716 eV per atom. For the spin magnetization, the calculation gives 2.9 μB per cell.

Entry 2:
Below is an optimized crystal structure of TbPa2Mn, with properties calculated at the PBE-GGA level.

It has space group R-3m (No. 166, hexagonal axes), with a = 3.6071 Å, b = 3.6071 Å, c = 26.0604 Å, α = 90.00°, β = 90.00° and γ = 120.00°. The asymmetric unit holds Tb at (0.0000, 0.0000, 0.0000), Pa at (0.0000, 0.0000, 0.2258) and Mn at (0.0000, 0.0000, 0.5000).

For the calculated formation energy, the calculation gives 0.164 eV per atom. For the spin magnetization, the calculation gives 0.0 μB per cell.

Entry 3:
Below is an optimized crystal structure of Cs2Ga2HgCl6, with properties calculated at the PBE-GGA level.

It has space group P-1 (No. 2), with a = 8.8662 Å, b = 8.8896 Å, c = 9.0238 Å, α = 67.04°, β = 66.77° and γ = 66.91°. The asymmetric unit holds Cs at (0.2074, 0.2090, 0.1977), Ga at (0.0824, 0.0823, 0.8735), Hg at (0.5000, 0.5000, 0.5000), Cl at (0.0033, 0.3618, 0.8596), Cl at (0.0685, 0.0665, 0.6359) and Cl at (0.3628, 0.0060, 0.8584).

The energy relative to the elements, uncorrected is -1333 meV/atom. For the spin magnetization, the calculation gives 0.0 μB per cell.

Entry 4:
Below is an optimized crystal structure of Al2InOs, with properties calculated at the PBE-GGA level.

It has space group P4/mmm (No. 123), with a = 3.0260 Å, b = 3.0260 Å, c = 7.8308 Å, α = 90.00°, β = 90.00° and γ = 90.00°. The asymmetric unit holds Al at (0.0000, 0.0000, 0.1836), In at (0.5000, 0.5000, 0.5000) and Os at (0.5000, 0.5000, 0.0000).

For the calculated formation energy, the calculation gives -0.104 eV per atom. For the spin magnetization, the calculation gives 0.0 μB per cell.

- What is the spin magnetization in the first record?
  2.9 μB per cell